(1)
The following is a PBE-GGA calculation of an optimized crystal structure of Ni2BPtSe, from the Alexandria database.

CIF file:
```
data_Ni2BPtSe
_chemical_formula_sum 'Ni2 B1 Pt1 Se1'
_space_group_name_H-M_alt 'P 4/m m m'
_space_group_IT_number 123
_space_group_name_Hall '-P 4 2'
_cell_length_a 3.9760
_cell_length_b 3.9760
_cell_length_c 4.1719
_cell_angle_alpha 90.00
_cell_angle_beta 90.00
_cell_angle_gamma 90.00
loop_
_atom_site_label
_atom_site_type_symbol
_atom_site_fract_x
_atom_site_fract_y
_atom_site_fract_z
Ni1 Ni 0.0000 0.5000 0.0000
B1 B 0.0000 0.0000 0.0000
Pt1 Pt 0.0000 0.0000 0.5000
Se1 Se 0.5000 0.5000 0.5000
```

Output
E_form (uncorrected)	87	meV/atom
N(E_F)	3.13	states/eV/f.u.

(2)
The following is a PBE-GGA calculation of an optimized crystal structure of NiB2PtSe, from the Alexandria database.

CIF file:
```
data_NiB2PtSe
_chemical_formula_sum 'Ni1 B2 Pt1 Se1'
_space_group_name_H-M_alt 'P 4/m m m'
_space_group_IT_number 123
_space_group_name_Hall '-P 4 2'
_cell_length_a 3.9476
_cell_length_b 3.9476
_cell_length_c 5.6454
_cell_angle_alpha 90.00
_cell_angle_beta 90.00
_cell_angle_gamma 90.00
loop_
_atom_site_label
_atom_site_type_symbol
_atom_site_fract_x
_atom_site_fract_y
_atom_site_fract_z
Ni1 Ni 0.0000 0.0000 0.0000
B1 B 0.0000 0.5000 0.5000
Pt1 Pt 0.5000 0.5000 0.5000
Se1 Se 0.5000 0.5000 0.0000
```

Output
E_form (uncorrected)	880	meV/atom
N(E_F)	4.50	states/eV/f.u.

(3)
The following is a PBE-GGA calculation of an optimized crystal structure of Sm2NiBPt6, from the Alexandria database.

CIF file:
```
data_Sm2NiBPt6
_chemical_formula_sum 'Sm6 Ni3 B3 Pt18'
_space_group_name_H-M_alt 'R -3 m'
_space_group_IT_number 166
_space_group_name_Hall '-R 3 2"'
_cell_length_a 5.6276
_cell_length_b 5.6276
_cell_length_c 19.6109
_cell_angle_alpha 90.00
_cell_angle_beta 90.00
_cell_angle_gamma 120.00
loop_
_atom_site_label
_atom_site_type_symbol
_atom_site_fract_x
_atom_site_fract_y
_atom_site_fract_z
Sm1 Sm 0.0000 0.0000 0.2079
Ni1 Ni 0.0000 0.0000 0.5000
B1 B 0.0000 0.0000 0.0000
Pt1 Pt 0.0122 0.5061 0.2687
```

Output
DFT formation energy	-776	meV/atom
N(E_F)	6.92	states/eV/f.u.

(4)
The following is a PBE-GGA calculation of an optimized crystal structure of Sm2NiB3Pt12, from the Alexandria database.

CIF file:
```
data_Sm2NiB3Pt12
_chemical_formula_sum 'Sm6 Ni3 B9 Pt36'
_space_group_name_H-M_alt 'R -3 m'
_space_group_IT_number 166
_space_group_name_Hall '-R 3 2"'
_cell_length_a 7.9088
_cell_length_b 7.9088
_cell_length_c 17.3907
_cell_angle_alpha 90.00
_cell_angle_beta 90.00
_cell_angle_gamma 120.00
loop_
_atom_site_label
_atom_site_type_symbol
_atom_site_fract_x
_atom_site_fract_y
_atom_site_fract_z
Sm1 Sm 0.0000 0.0000 0.1073
Ni1 Ni 0.0000 0.0000 0.5000
B1 B 0.0000 0.5000 0.0000
Pt1 Pt 0.0032 0.5016 0.1211
Pt2 Pt 0.0563 0.5281 0.3557
```

Output
DFT formation energy	-383	meV/atom
N(E_F)	9.27	states/eV/f.u.

(5)
The following is a PBE-GGA calculation of an optimized crystal structure of SrNiBPt2, from the Alexandria database.

CIF file:
```
data_SrNiBPt2
_chemical_formula_sum 'Sr1 Ni1 B1 Pt2'
_space_group_name_H-M_alt 'P 4/m m m'
_space_group_IT_number 123
_space_group_name_Hall '-P 4 2'
_cell_length_a 4.1066
_cell_length_b 4.1066
_cell_length_c 5.3021
_cell_angle_alpha 90.00
_cell_angle_beta 90.00
_cell_angle_gamma 90.00
loop_
_atom_site_label
_atom_site_type_symbol
_atom_site_fract_x
_atom_site_fract_y
_atom_site_fract_z
Sr1 Sr 0.0000 0.0000 0.0000
Ni1 Ni 0.5000 0.5000 0.0000
B1 B 0.0000 0.0000 0.5000
Pt1 Pt 0.0000 0.5000 0.5000
```

Output
DFT formation energy	27	meV/atom
energy relative to the lowest polymorph listed for this composition	403	meV per atom
N(E_F)	1.67	states/eV/f.u.

(6)
The following is a PBE-GGA calculation of an optimized crystal structure of SrNiBPt2, from the Alexandria database.

CIF file:
```
data_SrNiBPt2
_chemical_formula_sum 'Sr1 Ni1 B1 Pt2'
_space_group_name_H-M_alt 'P 4/m m m'
_space_group_IT_number 123
_space_group_name_Hall '-P 4 2'
_cell_length_a 4.3598
_cell_length_b 4.3598
_cell_length_c 4.2228
_cell_angle_alpha 90.00
_cell_angle_beta 90.00
_cell_angle_gamma 90.00
loop_
_atom_site_label
_atom_site_type_symbol
_atom_site_fract_x
_atom_site_fract_y
_atom_site_fract_z
Sr1 Sr 0.0000 0.0000 0.0000
Ni1 Ni 0.5000 0.5000 0.0000
B1 B 0.5000 0.5000 0.5000
Pt1 Pt 0.0000 0.5000 0.5000
```

Output
DFT formation energy	-376	meV/atom
energy relative to the lowest polymorph listed for this composition	0	meV per atom
N(E_F)	3.91	states/eV/f.u.

(7)
The following is a PBE-GGA calculation of an optimized crystal structure of Tb2NiB3Pt12, from the Alexandria database.

CIF file:
```
data_Tb2NiB3Pt12
_chemical_formula_sum 'Tb6 Ni3 B9 Pt36'
_space_group_name_H-M_alt 'R -3 m'
_space_group_IT_number 166
_space_group_name_Hall '-R 3 2"'
_cell_length_a 7.8978
_cell_length_b 7.8978
_cell_length_c 17.2091
_cell_angle_alpha 90.00
_cell_angle_beta 90.00
_cell_angle_gamma 120.00
loop_
_atom_site_label
_atom_site_type_symbol
_atom_site_fract_x
_atom_site_fract_y
_atom_site_fract_z
Tb1 Tb 0.0000 0.0000 0.1059
Ni1 Ni 0.0000 0.0000 0.5000
B1 B 0.0000 0.5000 0.0000
Pt1 Pt 0.9998 0.4999 0.1226
Pt2 Pt 0.0545 0.5273 0.3559
```

Output
DFT formation energy	-384	meV/atom
N(E_F)	9.09	states/eV/f.u.

(8)
The following is a PBE-GGA calculation of an optimized crystal structure of Th2Ni12B3Pt, from the Alexandria database.

CIF file:
```
data_Th2Ni12B3Pt
_chemical_formula_sum 'Th6 Ni36 B9 Pt3'
_space_group_name_H-M_alt 'R -3 m'
_space_group_IT_number 166
_space_group_name_Hall '-R 3 2"'
_cell_length_a 6.9701
_cell_length_b 6.9701
_cell_length_c 17.2053
_cell_angle_alpha 90.00
_cell_angle_beta 90.00
_cell_angle_gamma 120.00
loop_
_atom_site_label
_atom_site_type_symbol
_atom_site_fract_x
_atom_site_fract_y
_atom_site_fract_z
Th1 Th 0.0000 0.0000 0.1001
Ni1 Ni 0.0663 0.5331 0.8885
Ni2 Ni 0.0689 0.5344 0.3057
B1 B 0.0000 0.5000 0.0000
Pt1 Pt 0.0000 0.0000 0.5000
```

Output
DFT formation energy	-92	meV/atom
N(E_F)	12.40	states/eV/f.u.

(9)
The following is a PBE-GGA calculation of an optimized crystal structure of Ti2NiBPt, from the Alexandria database.

CIF file:
```
data_Ti2NiBPt
_chemical_formula_sum 'Ti2 Ni1 B1 Pt1'
_space_group_name_H-M_alt 'P 4/m m m'
_space_group_IT_number 123
_space_group_name_Hall '-P 4 2'
_cell_length_a 4.3353
_cell_length_b 4.3353
_cell_length_c 4.5478
_cell_angle_alpha 90.00
_cell_angle_beta 90.00
_cell_angle_gamma 90.00
loop_
_atom_site_label
_atom_site_type_symbol
_atom_site_fract_x
_atom_site_fract_y
_atom_site_fract_z
Ti1 Ti 0.0000 0.5000 0.0000
Ni1 Ni 0.0000 0.0000 0.0000
B1 B 0.5000 0.5000 0.5000
Pt1 Pt 0.0000 0.0000 0.5000
```

Output
DFT formation energy	955	meV/atom
N(E_F)	5.34	states/eV/f.u.

(10)
The following is a PBE-GGA calculation of an optimized crystal structure of TlNi2BPt, from the Alexandria database.

CIF file:
```
data_TlNi2BPt
_chemical_formula_sum 'Tl1 Ni2 B1 Pt1'
_space_group_name_H-M_alt 'P 4/m m m'
_space_group_IT_number 123
_space_group_name_Hall '-P 4 2'
_cell_length_a 4.0501
_cell_length_b 4.0501
_cell_length_c 4.1752
_cell_angle_alpha 90.00
_cell_angle_beta 90.00
_cell_angle_gamma 90.00
loop_
_atom_site_label
_atom_site_type_symbol
_atom_site_fract_x
_atom_site_fract_y
_atom_site_fract_z
Tl1 Tl 0.0000 0.0000 0.0000
Ni1 Ni 0.0000 0.5000 0.5000
B1 B 0.5000 0.5000 0.5000
Pt1 Pt 0.5000 0.5000 0.0000
```

Output
DFT formation energy	-3	meV/atom
N(E_F)	2.84	states/eV/f.u.

(11)
The following is a PBE-GGA calculation of an optimized crystal structure of TlNiBPt2, from the Alexandria database.

CIF file:
```
data_TlNiBPt2
_chemical_formula_sum 'Tl1 Ni1 B1 Pt2'
_space_group_name_H-M_alt 'P 4/m m m'
_space_group_IT_number 123
_space_group_name_Hall '-P 4 2'
_cell_length_a 4.2948
_cell_length_b 4.2948
_cell_length_c 4.0291
_cell_angle_alpha 90.00
_cell_angle_beta 90.00
_cell_angle_gamma 90.00
loop_
_atom_site_label
_atom_site_type_symbol
_atom_site_fract_x
_atom_site_fract_y
_atom_site_fract_z
Tl1 Tl 0.0000 0.0000 0.0000
Ni1 Ni 0.5000 0.5000 0.0000
B1 B 0.5000 0.5000 0.5000
Pt1 Pt 0.0000 0.5000 0.5000
```

Output
DFT formation energy	-5	meV/atom
N(E_F)	3.80	states/eV/f.u.

(12)
The following is a PBE-GGA calculation of an optimized crystal structure of Tm2Ni6BPt, from the Alexandria database.

CIF file:
```
data_Tm2Ni6BPt
_chemical_formula_sum 'Tm2 Ni6 B1 Pt1'
_space_group_name_H-M_alt 'P -1'
_space_group_IT_number 2
_cell_length_a 5.2050
_cell_length_b 5.2150
_cell_length_c 6.8400
_cell_angle_alpha 68.15
_cell_angle_beta 68.01
_cell_angle_gamma 60.29
loop_
_space_group_symop_operation_xyz
'x,y,z'
'-x,-y,-z'
loop_
_atom_site_label
_atom_site_type_symbol
_atom_site_fract_x
_atom_site_fract_y
_atom_site_fract_z
Tm1 Tm 0.2190 0.2212 0.3462
Ni1 Ni 0.2303 0.6896 0.8422
Ni2 Ni 0.2324 0.2294 0.8313
Ni3 Ni 0.3053 0.7719 0.1611
B1 B 0.0000 0.0000 0.0000
Pt1 Pt 0.5000 0.5000 0.5000
```

Output
DFT formation energy	-463	meV/atom
N(E_F)	8.51	states/eV/f.u.